## WS2 (SCAN)

Data for a PBEsol-optimized structure of WS2.

Structure (POSCAR):
```
WS2
1.0
1.573 0.908 6.268
-1.573 0.908 6.268
0.000 -1.816 6.268
W S
1 2
direct
0.000 0.000 0.000
0.583 0.583 0.583
0.750 0.750 0.750
```

formation energy from raw total energies: -834 meV/atom

***

## Zr9W4S (SCAN)

Data for a PBEsol-optimized structure of Zr9W4S.

Structure (POSCAR):
```
Zr9W4S
1.0
8.631 0.000 0.000
-4.316 7.475 0.000
0.000 0.000 8.588
Zr W S
18 8 2
direct
0.078 0.539 0.250
0.198 0.395 0.551
0.198 0.395 0.949
0.198 0.802 0.551
0.198 0.802 0.949
0.395 0.198 0.051
0.395 0.198 0.449
0.461 0.539 0.250
0.461 0.922 0.250
0.539 0.078 0.750
0.539 0.461 0.750
0.605 0.802 0.551
0.605 0.802 0.949
0.802 0.198 0.051
0.802 0.198 0.449
0.802 0.605 0.051
0.802 0.605 0.449
0.922 0.461 0.750
0.000 0.000 0.000
0.000 0.000 0.500
0.109 0.218 0.250
0.109 0.891 0.250
0.218 0.109 0.750
0.782 0.891 0.250
0.891 0.109 0.750
0.891 0.782 0.750
0.333 0.667 0.750
0.667 0.333 0.250
```

formation energy from raw total energies: -290 meV/atom

***

## Y2S3 (SCAN)

Data for a PBEsol-optimized structure of Y2S3.

Structure (POSCAR):
```
Y2S3
1.0
10.534 0.000 0.000
0.000 3.827 0.000
0.000 0.000 10.279
Y S
8 12
direct
0.011 0.250 0.187
0.193 0.250 0.503
0.307 0.750 0.003
0.489 0.750 0.687
0.511 0.250 0.313
0.693 0.250 0.997
0.807 0.750 0.497
0.989 0.750 0.813
0.045 0.750 0.374
0.120 0.250 0.944
0.228 0.750 0.699
0.272 0.250 0.199
0.380 0.750 0.444
0.455 0.250 0.874
0.545 0.750 0.126
0.620 0.250 0.556
0.728 0.750 0.801
0.772 0.250 0.301
0.880 0.750 0.056
0.955 0.250 0.626
```

formation energy from raw total energies: -2397 meV/atom

***

## YS (SCAN)

Data for a PBEsol-optimized structure of YS.

Structure (POSCAR):
```
YS
1.0
0.000 2.729 2.729
2.729 0.000 2.729
2.729 2.729 0.000
Y S
1 1
direct
0.000 0.000 0.000
0.500 0.500 0.500
```

formation energy from raw total energies: -2275 meV/atom

***

## Y2S3 (SCAN)

Data for a PBEsol-optimized structure of Y2S3.

Structure (POSCAR):
```
Y2S3
1.0
-4.098 4.098 12.271
4.098 -4.098 12.271
4.098 4.098 -12.271
Y S
16 24
direct
0.048 0.426 0.895
0.166 0.166 0.000
0.176 0.298 0.395
0.219 0.824 0.122
0.256 0.125 0.631
0.375 0.744 0.869
0.494 0.625 0.369
0.531 0.152 0.105
0.574 0.469 0.622
0.584 0.084 0.500
0.702 0.098 0.878
0.834 0.834 0.000
0.848 0.952 0.378
0.875 0.506 0.131
0.902 0.781 0.605
0.916 0.416 0.500
0.003 0.111 0.247
0.073 0.827 0.609
0.173 0.782 0.246
0.187 0.093 0.747
0.190 0.596 0.753
0.214 0.468 0.891
0.218 0.464 0.391
0.243 0.997 0.107
0.346 0.440 0.253
0.404 0.157 0.594
0.507 0.114 0.253
0.532 0.423 0.746
0.536 0.927 0.754
0.560 0.813 0.906
0.563 0.810 0.406
0.577 0.323 0.109
0.677 0.786 0.254
0.747 0.493 0.607
0.843 0.437 0.247
0.861 0.253 0.747
0.864 0.757 0.753
0.886 0.139 0.393
0.889 0.136 0.893
0.907 0.654 0.094
```

formation energy from raw total energies: -2361 meV/atom

***

## Y5S7 (SCAN)

Data for a PBEsol-optimized structure of Y5S7.

Structure (POSCAR):
```
Y5S7
1.0
6.346 -1.883 0.000
6.346 1.883 0.000
-2.902 0.000 11.076
Y S
5 7
direct
0.000 0.000 0.000
0.112 0.112 0.421
0.300 0.300 0.188
0.700 0.700 0.812
0.888 0.888 0.579
0.041 0.041 0.785
0.259 0.259 0.648
0.340 0.340 0.949
0.500 0.500 0.500
0.660 0.660 0.051
0.741 0.741 0.352
0.959 0.959 0.215
```

formation energy from raw total energies: -2403 meV/atom

***

## Y2S3 (SCAN)

Data for a PBEsol-optimized structure of Y2S3.

Structure (POSCAR):
```
Y2S3
1.0
10.090 0.000 0.000
0.000 3.978 0.000
-2.619 0.000 17.186
Y S
12 18
direct
0.015 0.250 0.102
0.050 0.750 0.615
0.310 0.250 0.479
0.312 0.250 0.779
0.330 0.750 0.281
0.376 0.250 0.070
0.624 0.750 0.930
0.670 0.250 0.719
0.688 0.750 0.221
0.690 0.750 0.521
0.950 0.250 0.385
0.985 0.750 0.898
0.114 0.750 0.466
0.132 0.250 0.968
0.136 0.750 0.781
0.180 0.250 0.317
0.212 0.750 0.129
0.234 0.250 0.626
0.447 0.250 0.925
0.452 0.750 0.424
0.494 0.250 0.232
0.506 0.750 0.768
0.548 0.250 0.576
0.553 0.750 0.075
0.766 0.750 0.374
0.788 0.250 0.871
0.820 0.750 0.683
0.864 0.250 0.219
0.868 0.750 0.032
0.886 0.250 0.534
```

formation energy from raw total energies: -2405 meV/atom

***

## YZnS2 (SCAN)

Data for a PBEsol-optimized structure of YZnS2.

Structure (POSCAR):
```
YZnS2
1.0
-2.956 2.956 5.347
2.956 -2.956 5.347
2.956 2.956 -5.347
Y Zn S
2 2 4
direct
0.000 0.000 0.000
0.750 0.250 0.500
0.250 0.750 0.500
0.500 0.500 0.000
0.168 0.625 0.043
0.375 0.418 0.543
0.582 0.125 0.957
0.875 0.832 0.457
```

formation energy from raw total energies: -1221 meV/atom

***

For reference, electronic total energy by record: -30.482, -40.623, -19.311, -21.010, -19.275, -19.620, -19.319, -16.375 eV/atom.